Ho2MnSe2O2: optimized geometry, PBE with a Hubbard U.

a b c (Å): 6.0382 6.0382 6.9879
angles (deg): 120.33 120.33 36.42
Positions (direct):
Ho 0.1905 0.1905 0.2515
Ho 0.8095 0.8095 0.7485
Mn 0.0000 0.0000 0.5000
Se 0.4323 0.4323 0.1646
Se 0.5677 0.5677 0.8354
O 0.2035 0.2035 0.5845
O 0.7965 0.7965 0.4155

Properties
Energy in eV/atom: -7.13
Size of the total moment in Bohr magnetons per cell: 5.00